1.
DFT (SCAN) results for a crystal of Sr2IrPb relaxed with PBEsol.

Output
Energy relative to the elements in kcal/mol of atoms: -0.94
Fermi-level density of states in states/eV/atom: 0.9487

```
Sr2IrPb
1.0
-2.237 2.879 -0.192
-2.682 -2.164 -1.205
-2.615 -1.469 8.454
Ir Pb Sr
1 1 2
Direct
0.000 0.000 0.553
0.500 0.500 0.684
0.000 0.000 0.933
0.500 0.500 0.330
```

2.
DFT (SCAN) results for a crystal of ReHgOs relaxed with PBEsol.

Output
Energy relative to the elements in kcal/mol of atoms: 26.48
Fermi-level density of states in states/eV/atom: 1.0005

```
ReHgOs
1.0
-3.000 2.191 -2.144
-1.480 -1.488 -3.741
-3.996 -1.535 -0.268
Hg Os Re
1 1 1
Direct
0.000 0.000 0.000
0.500 0.500 0.500
0.250 0.250 0.250
```

3.
DFT (SCAN) results for a crystal of Li3La4 relaxed with PBEsol.

Output
Energy relative to the elements in kcal/mol of atoms: 1.12
Fermi-level density of states in states/eV/atom: 0.9600

```
Li3La4
1.0
-4.516 -1.513 3.419
0.961 -2.864 -5.024
3.967 -4.425 3.282
Li La
3 4
Direct
0.000 0.500 0.000
0.500 0.000 0.000
0.500 0.500 0.000
0.000 0.000 0.728
0.000 0.000 0.272
0.333 0.667 0.500
0.667 0.333 0.500
```

4.
DFT (SCAN) results for a crystal of HfTi3Zn relaxed with PBEsol.

Output
Energy relative to the elements in kcal/mol of atoms: 14.88
Fermi-level density of states in states/eV/atom: 0.6814
Relative energy among the computed polymorphs in eV/atom: 0.000

```
HfTi3Zn
1.0
-2.850 2.288 -2.852
-1.298 -4.014 -1.923
-3.419 -0.384 3.108
Zn Hf Ti
1 1 3
Direct
0.000 0.000 0.000
0.500 0.500 0.500
0.000 0.500 0.000
0.000 0.000 0.500
0.500 0.000 0.000
```

5.
DFT (SCAN) results for a crystal of BeAl2Cu relaxed with PBEsol.

Output
Energy relative to the elements in kcal/mol of atoms: -2.36
Fermi-level density of states in states/eV/atom: 0.2197

```
BeAl2Cu
1.0
-1.627 2.045 1.418
-1.397 -2.708 2.302
4.208 -0.322 2.175
Be Al Cu
1 2 1
Direct
0.698 0.000 0.397
0.969 0.000 0.937
0.285 0.500 0.570
0.560 0.500 0.119
```

6.
DFT (SCAN) results for a crystal of NbCd3Pt relaxed with PBEsol.

Output
Energy relative to the elements in kcal/mol of atoms: 38.38
Fermi-level density of states in states/eV/atom: 0.9860

```
NbCd3Pt
1.0
5.179 0.000 0.000
0.000 5.179 0.000
0.000 0.000 5.179
Nb Pt Cd
1 1 3
Direct
0.000 0.000 0.000
0.500 0.500 0.500
0.000 0.500 0.000
0.000 0.000 0.500
0.500 0.000 0.000
```

> The lowest energy relative to the elements belongs to which entry?

BeAl2Cu

> Among the records above, which one has the lowest energy relative to the elements?

BeAl2Cu

> Which of these has the lowest energy relative to the elements?

BeAl2Cu